Record 1
PBE-GGA TbPaPd, relaxed; density of states at the Fermi level = 1.302 states/eV/atom; energy = -20.2 eV/f.u.; size of the total moment = 0.0 μB per cell
1.0
3.624 0.000 0.000
0.000 3.624 0.000
-1.812 -1.812 5.591
Pa Tb Pd
1 1 1
Cartesian
0.000 0.000 3.427
0.000 0.000 0.078
1.812 1.812 2.086


Record 2
PBE-GGA Pr4HgPtO, relaxed; density of states at the Fermi level = 0.842 states/eV/atom; raw formation energy = -1175 meV/atom; size of the total moment = 0.0 μB per cell
1.0
6.926 0.000 0.000
0.000 6.939 0.000
-3.463 0.000 7.772
Pr Hg Pt O
8 2 2 2
Cartesian
3.463 1.735 6.884
0.000 5.204 6.571
0.000 5.204 0.888
3.463 1.735 1.201
1.732 3.469 3.886
-1.732 0.000 3.886
1.732 0.000 3.886
-1.732 3.469 3.886
3.463 5.204 1.804
0.000 1.735 5.967
0.000 1.735 1.925
3.463 5.204 5.847
0.000 5.204 4.030
3.463 1.735 3.742


density of states at the Fermi level of number 1 (TbPaPd)?
1.302 states/eV/atom